(1)
The following is a DFT calculation (PBE) of a geometry-optimized Pr2CuSn structure.

```
Pr2CuSn
1.0
-3.2467 -1.1425 -3.3498
5.6269 -6.9498 -3.0834
-2.0164 -0.9532 5.7225
Pr Cu Sn
4 2 2
direct
0.1703 0.5852 0.3408 Pr
0.8297 0.4148 0.6592 Pr
0.1705 0.0852 0.3408 Pr
0.8295 0.9148 0.6592 Pr
0.9994 0.7500 0.0000 Cu
0.0006 0.2500 0.0000 Cu
0.5006 0.2500 0.0000 Sn
0.4994 0.7500 0.0000 Sn
```

Results
- SG = No. 15
- ΔE_f (eV per atom) = -0.12
- D(E_F) (states/eV/cell) = 8.0

=====

(2)
The following is a DFT calculation (PBE) of a geometry-optimized PrCuSn2 structure.

```
PrCuSn2
1.0
4.4843 0.0000 0.0000
0.0000 4.4843 0.0000
0.0000 0.0000 9.7521
Pr Cu Sn
2 2 4
direct
0.0000 0.5000 0.2330 Pr
0.5000 0.0000 0.7670 Pr
0.5000 0.5000 0.0000 Cu
0.0000 0.0000 0.0000 Cu
0.5000 0.0000 0.1557 Sn
0.0000 0.5000 0.8443 Sn
0.0000 0.0000 0.5000 Sn
0.5000 0.5000 0.5000 Sn
```

Results
- SG = No. 129
- ΔE_f (eV per atom) = -0.47
- D(E_F) (states/eV/cell) = 5.4

=====

(3)
The following is a DFT calculation (PBE) of a geometry-optimized Pr2Cu3Sn3 structure.

```
Pr2Cu3Sn3
1.0
-1.5443 1.3772 2.2974
-1.9467 -2.3986 0.1293
13.2908 -9.9823 14.9175
Pr Cu Sn
2 3 3
direct
0.5000 0.5000 0.7549 Pr
0.5000 0.5000 0.2451 Pr
0.5000 0.5000 0.1171 Cu
0.5000 0.5000 0.8829 Cu
0.5000 0.5000 0.5000 Cu
0.5000 0.5000 0.3865 Sn
0.5000 0.5000 0.6135 Sn
0.5000 0.5000 0.0000 Sn
```

Results
- SG = No. 123
- ΔE_f (eV per atom) = 0.56
- D(E_F) (states/eV/cell) = 6.7

=====

(4)
The following is a DFT calculation (PBE) of a geometry-optimized Pr2Cu3Sn2 structure.

```
Pr2Cu3Sn2
1.0
7.5403 0.0000 0.0000
-2.5134 7.1090 0.0000
-2.5134 -3.5545 6.1566
Pr Cu Sn
4 6 4
direct
0.0000 0.0000 0.5142 Pr
0.5000 0.5142 0.5000 Pr
0.4858 0.9858 0.9858 Pr
0.0142 0.5000 0.0000 Pr
0.7814 0.7500 0.0314 Cu
0.7186 0.2500 0.4686 Cu
0.9686 0.2186 0.2500 Cu
0.5314 0.2814 0.7500 Cu
0.2500 0.0314 0.2814 Cu
0.7500 0.4686 0.2186 Cu
0.0000 0.0000 0.9296 Sn
0.5000 0.9296 0.5000 Sn
0.0704 0.5704 0.5704 Sn
0.4296 0.5000 0.0000 Sn
```

Results
- SG = No. 199
- ΔE_f (eV per atom) = -0.23
- D(E_F) (states/eV/cell) = 12.3

=====

(5)
The following is a DFT calculation (PBE) of a geometry-optimized Pr4Cu2Sn5 structure.

```
Pr4Cu2Sn5
1.0
-3.5763 -0.5870 0.3741
1.2993 -3.5196 6.8971
-1.0716 9.1732 4.1493
Pr Cu Sn
4 2 5
direct
0.5000 0.7485 0.5575 Pr
0.5000 0.1773 0.8779 Pr
0.5000 0.2515 0.4425 Pr
0.5000 0.8227 0.1221 Pr
0.0000 0.0584 0.6261 Cu
0.0000 0.9416 0.3739 Cu
0.0000 0.5712 0.3077 Sn
0.0000 0.1761 0.1667 Sn
0.0000 0.5000 0.0000 Sn
0.0000 0.8239 0.8333 Sn
0.0000 0.4288 0.6923 Sn
```

Results
- SG = No. 10
- ΔE_f (eV per atom) = -0.48
- D(E_F) (states/eV/cell) = 8.2

=====

(6)
The following is a DFT calculation (PBE) of a geometry-optimized Pr3Cu8Sn structure.

```
Pr3Cu8Sn
1.0
5.3249 0.0000 0.0000
2.6624 4.6115 0.0000
2.6624 1.5372 8.6963
Pr Cu Sn
3 8 1
direct
0.3768 0.3768 0.8695 Pr
0.9963 0.9963 0.0112 Pr
0.5012 0.5012 0.4963 Pr
0.9420 0.4351 0.1879 Cu
0.4406 0.9372 0.6850 Cu
0.4351 0.4351 0.1879 Cu
0.9372 0.9372 0.6850 Cu
0.1882 0.1882 0.4353 Cu
0.6879 0.6879 0.9364 Cu
0.4351 0.9420 0.1879 Cu
0.9372 0.4406 0.6850 Cu
0.8724 0.8724 0.3829 Sn
```

Results
- SG = No. 160
- ΔE_f (eV per atom) = -0.13
- D(E_F) (states/eV/cell) = 6.6

=====

(7)
The following is a DFT calculation (PBE) of a geometry-optimized PrCuSn2 structure.

```
PrCuSn2
1.0
3.4541 0.0000 0.0000
1.7271 2.9914 0.0000
1.7271 0.9971 10.3060
Pr Sn Cu
1 2 1
direct
0.0000 0.0000 0.0000 Pr
0.1052 0.1052 0.6844 Sn
0.8948 0.8948 0.3156 Sn
0.5000 0.5000 0.5000 Cu
```

Results
- SG = No. 166
- ΔE_f (eV per atom) = 0.12
- D(E_F) (states/eV/cell) = 4.1

=====

(8)
The following is a DFT calculation (PBE) of a geometry-optimized Pr4CuSn8 structure.

```
Pr4CuSn8
1.0
4.4610 0.0000 0.0000
0.0000 4.5426 0.0000
0.0000 0.0000 17.6522
Pr Cu Sn
4 1 8
direct
0.0000 0.0000 0.0947 Pr
0.0000 0.5000 0.6061 Pr
0.5000 0.5000 0.3965 Pr
0.5000 0.0000 0.8953 Pr
0.0000 0.0000 0.3187 Cu
0.0000 0.0000 0.4624 Sn
0.0000 0.5000 0.9337 Sn
0.5000 0.5000 0.0474 Sn
0.5000 0.0000 0.5719 Sn
0.0000 0.5000 0.2379 Sn
0.0000 0.0000 0.7487 Sn
0.5000 0.0000 0.2363 Sn
0.5000 0.5000 0.7534 Sn
```

Results
- SG = No. 25
- ΔE_f (eV per atom) = -0.60
- D(E_F) (states/eV/cell) = 5.7